A plane-wave DFT calculation with PBE was carried out for NaBeH3 after structural relaxation.

Cell: 3.699 3.699 3.699 Å, 90.00 90.00 90.00°
Sites, in units of the cell vectors:
Be 0.500 0.500 0.500
H 0.000 0.000 0.500
H 0.000 0.500 0.000
Na 0.000 0.000 0.000
H 0.500 0.000 0.000

Summary:
total DFT energy (no corrections): -1.86 eV/atom
symmetry: Pm-3m, No. 221


A plane-wave DFT calculation with PBE was carried out for NaBe2H4 after structural relaxation.

Cell: 5.140 5.152 7.607 Å, 124.77 98.09 87.21°
Sites, in units of the cell vectors:
H 0.057 0.141 0.706
H 0.875 0.625 0.753
H 0.625 0.342 0.779
Na 0.365 0.864 0.500
Be 0.624 0.196 0.344
H 0.563 0.847 0.221
H 0.408 0.795 0.770
H 0.873 0.122 0.248
H 0.436 0.351 0.293
H 0.025 0.638 0.230
Na 0.110 0.111 0.000
Be 0.852 0.281 0.657
Be 0.591 0.570 0.722
Be 0.847 0.868 0.277

Summary:
total DFT energy (no corrections): -3.21 eV/atom
symmetry: P1, No. 1


A plane-wave DFT calculation with PBE was carried out for Na5BeH8 after structural relaxation.

Cell: 6.336 6.336 6.336 Å, 108.38 111.68 108.38°
Sites, in units of the cell vectors:
Na 0.367 0.088 0.914
Na 0.720 0.547 0.633
H 0.631 0.191 0.313
H 0.687 0.318 0.878
Na 0.086 0.453 0.174
Na 0.826 0.912 0.280
H 0.172 0.320 0.843
H 0.149 0.671 0.828
H 0.522 0.680 0.851
Na 0.500 0.000 0.500
H 0.122 0.809 0.439
H 0.561 0.682 0.369
Be 0.250 0.500 0.750
H 0.157 0.329 0.478

Summary:
total DFT energy (no corrections): -2.62 eV/atom
symmetry: I-4, No. 82


A plane-wave DFT calculation with PBE was carried out for NaBeH3 after structural relaxation.

Cell: 4.069 5.885 9.058 Å, 101.72 90.00 90.00°
Sites, in units of the cell vectors:
Be 0.146 0.860 0.009
Na 0.264 0.478 0.211
H 0.727 0.804 0.623
H 0.216 0.100 0.993
Be 0.854 0.140 0.991
H 0.732 0.680 0.348
Na 0.736 0.522 0.789
H 0.773 0.304 0.123
H 0.716 0.400 0.507
H 0.227 0.696 0.877
Be 0.646 0.640 0.491
Na 0.764 0.022 0.289
H 0.273 0.196 0.377
H 0.268 0.320 0.652
H 0.784 0.900 0.007
Be 0.354 0.360 0.509
Na 0.236 0.978 0.711
H 0.284 0.600 0.493
H 0.232 0.820 0.152
H 0.768 0.180 0.848

Summary:
total DFT energy (no corrections): -3.23 eV/atom
symmetry: P2_1/c, No. 14


A plane-wave DFT calculation with PBE was carried out for NaBe2H4 after structural relaxation.

Cell: 4.022 4.890 4.890 Å, 80.26 65.72 65.72°
Sites, in units of the cell vectors:
H 0.838 0.713 0.612
H 0.550 0.612 0.287
Be 0.750 0.500 0.500
Na 0.500 0.000 0.000
H 0.450 0.388 0.713
Be 0.250 0.500 0.500
H 0.162 0.287 0.388

Summary:
total DFT energy (no corrections): -3.15 eV/atom
symmetry: I4/m, No. 87


A plane-wave DFT calculation with PBE was carried out for Na2BeH6 after structural relaxation.

Cell: 4.778 4.778 4.778 Å, 60.00 60.00 60.00°
Sites, in units of the cell vectors:
H 0.774 0.226 0.226
H 0.774 0.774 0.226
H 0.226 0.774 0.226
Na 0.250 0.250 0.250
H 0.774 0.226 0.774
H 0.226 0.774 0.774
H 0.226 0.226 0.774
Be 0.000 0.000 0.000
Na 0.750 0.750 0.750

Summary:
total DFT energy (no corrections): -2.75 eV/atom
symmetry: Fm-3m, No. 225


Table of DOS at the Fermi energy (states/eV/cell), in record order: 1.34, 0.00, 3.93, 0.00, 1.40, 2.16
Table of volume (Å³ per cell), in record order: 50.59, 163.73, 195.62, 212.37, 79.90, 77.14